! PBE-GGA TeRh, optimized geometry; values from VASP
&SYSTEM
  ibrav = 0, nat = 8, ntyp = 2
/
ATOMIC_SPECIES
Te 127.60 Te.upf
Rh 102.91 Rh.upf
CELL_PARAMETERS angstrom
-1.436 1.675 4.500
-2.354 1.584 -4.132
-5.006 -5.890 0.594
ATOMIC_POSITIONS crystal
Te 0.000 0.000 0.250
Te 0.000 0.000 0.750
Te 0.333 0.667 0.750
Te 0.667 0.333 0.250
Rh 0.333 0.667 0.078
Rh 0.667 0.333 0.578
Rh 0.667 0.333 0.922
Rh 0.333 0.667 0.422
! formation energy without anion corrections	0.567	eV per atom
! total energy	-4.679	eV/atom
! M_tot	0.00	μB/atom



! PBE-GGA TeRh, optimized geometry; values from VASP
&SYSTEM
  ibrav = 0, nat = 4, ntyp = 2
/
ATOMIC_SPECIES
Te 127.60 Te.upf
Rh 102.91 Rh.upf
CELL_PARAMETERS angstrom
-1.988 1.988 4.822
1.988 -1.988 4.822
1.988 1.988 -4.822
ATOMIC_POSITIONS crystal
Te 0.500 0.500 0.000
Te 0.250 0.750 0.500
Rh 0.000 0.000 0.000
Rh 0.750 0.250 0.500
! formation energy without anion corrections	0.143	eV per atom
! total energy	-5.104	eV/atom
! M_tot	0.00	μB/atom



! PBE-GGA Te10Rh7, optimized geometry; values from VASP
&SYSTEM
  ibrav = 0, nat = 34, ntyp = 2
/
ATOMIC_SPECIES
Te 127.60 Te.upf
Rh 102.91 Rh.upf
CELL_PARAMETERS angstrom
8.855 0.006 -0.009
1.895 8.814 0.006
2.914 2.033 9.998
ATOMIC_POSITIONS crystal
Te 0.792 0.539 0.000
Te 0.591 0.342 0.804
Te 0.386 0.143 0.602
Te 0.185 0.944 0.399
Te 0.983 0.754 0.195
Te 0.017 0.246 0.805
Te 0.815 0.056 0.601
Te 0.614 0.857 0.398
Te 0.409 0.658 0.196
Te 0.208 0.461 0.000
Te 0.496 0.227 0.205
Te 0.295 0.031 0.003
Te 0.100 0.830 0.803
Te 0.897 0.630 0.606
Te 0.694 0.431 0.408
Te 0.306 0.569 0.592
Te 0.103 0.370 0.394
Te 0.900 0.170 0.197
Te 0.705 0.969 0.997
Te 0.504 0.773 0.795
Rh 0.752 0.258 0.993
Rh 0.545 0.067 0.794
Rh 0.345 0.864 0.586
Rh 0.139 0.667 0.387
Rh 0.940 0.472 0.197
Rh 0.060 0.528 0.803
Rh 0.861 0.333 0.613
Rh 0.655 0.136 0.414
Rh 0.455 0.933 0.206
Rh 0.248 0.742 0.007
Rh 0.601 0.599 0.604
Rh 0.197 0.200 0.196
Rh 0.803 0.800 0.804
Rh 0.399 0.401 0.396
! formation energy without anion corrections	-0.390	eV per atom
! total energy	-5.265	eV/atom
! M_tot	0.00	μB/atom



! PBE-GGA Te16Rh9, optimized geometry; values from VASP
&SYSTEM
  ibrav = 0, nat = 25, ntyp = 2
/
ATOMIC_SPECIES
Te 127.60 Te.upf
Rh 102.91 Rh.upf
CELL_PARAMETERS angstrom
-7.046 2.615 2.728
-3.855 -2.516 -7.544
-2.424 -8.282 1.679
ATOMIC_POSITIONS crystal
Te 0.749 0.050 0.785
Te 0.000 0.299 0.038
Te 0.500 0.795 0.539
Te 0.254 0.537 0.295
Te 0.251 0.950 0.215
Te 0.500 0.205 0.461
Te 0.000 0.701 0.962
Te 0.746 0.463 0.705
Te 0.000 0.789 0.551
Te 0.746 0.537 0.295
Te 0.500 0.290 0.046
Te 0.251 0.050 0.785
Te 0.500 0.710 0.954
Te 0.254 0.463 0.705
Te 0.000 0.211 0.449
Te 0.749 0.950 0.215
Rh 0.500 0.255 0.755
Rh 0.743 0.500 0.000
Rh 0.243 0.000 0.500
Rh 0.000 0.736 0.262
Rh 0.500 0.745 0.245
Rh 0.757 0.000 0.500
Rh 0.257 0.500 0.000
Rh 0.000 0.264 0.738
Rh 0.000 0.000 0.000
! formation energy without anion corrections	-0.398	eV per atom
! total energy	-5.055	eV/atom
! M_tot	0.00	μB/atom



! PBE-GGA TeRh5, optimized geometry; values from VASP
&SYSTEM
  ibrav = 0, nat = 6, ntyp = 2
/
ATOMIC_SPECIES
Te 127.60 Te.upf
Rh 102.91 Rh.upf
CELL_PARAMETERS angstrom
-5.460 -1.415 2.438
3.919 -1.647 -4.438
1.762 -2.511 2.487
ATOMIC_POSITIONS crystal
Te 0.500 0.500 0.000
Rh 0.330 0.670 0.500
Rh 0.166 0.834 0.000
Rh 0.000 0.000 0.500
Rh 0.834 0.166 0.000
Rh 0.670 0.330 0.500
! formation energy without anion corrections	0.008	eV per atom
! total energy	-6.642	eV/atom
! M_tot	0.00	μB/atom
! energy above the most stable polymorph in this dataset	0.0	meV/atom



! PBE-GGA Te7Rh6, optimized geometry; values from VASP
&SYSTEM
  ibrav = 0, nat = 13, ntyp = 2
/
ATOMIC_SPECIES
Te 127.60 Te.upf
Rh 102.91 Rh.upf
CELL_PARAMETERS angstrom
9.585 0.004 0.002
7.471 6.006 0.002
7.471 2.632 5.398
ATOMIC_POSITIONS crystal
Te 0.937 0.420 0.420
Te 0.420 0.420 0.937
Te 0.420 0.937 0.420
Te 0.063 0.580 0.580
Te 0.580 0.063 0.580
Te 0.580 0.580 0.063
Te 0.500 0.500 0.500
Rh 0.915 0.915 0.915
Rh 0.085 0.085 0.085
Rh 0.817 0.817 0.817
Rh 0.183 0.183 0.183
Rh 0.667 0.667 0.667
Rh 0.333 0.333 0.333
! formation energy without anion corrections	0.530	eV per atom
! total energy	-4.555	eV/atom
! M_tot	0.00	μB/atom



> The highest total energy belongs to which entry?

Te7Rh6



> Which value of formation energy without anion corrections does entry 1 give?

0.567 eV per atom